Compound: Li2MnSiO4
Source: Alexandria via LeMat-Bulk
Functional: PBE+U
Structure: optimized geometry Values from VASP.

Density of states at the Fermi level: 0.00 states/eV/atom
E: -220.87 eV/cell
E above lowest polymorph: 0.009 eV per atom
Space group: Pna2_1 (33)
ρ: 2.94 Mg/m³

```
&SYSTEM
  ibrav = 0, nat = 32, ntyp = 4
/
ATOMIC_SPECIES
Li 6.94 Li.upf
Mn 54.94 Mn.upf
Si 28.09 Si.upf
O 16.00 O.upf
ATOMIC_POSITIONS angstrom
Li 0.808 1.054 0.000
Li 1.760 4.172 1.595
Li 3.761 1.594 4.788
Li 4.712 3.632 3.193
Li 6.329 1.524 0.000
Li 7.280 3.563 1.595
Li 9.282 0.985 4.788
Li 10.233 4.103 3.193
Mn 1.843 4.146 4.768
Mn 3.678 1.568 1.575
Mn 7.363 3.589 4.768
Mn 9.199 1.011 1.575
Si 0.955 1.593 3.184
Si 4.566 4.171 6.377
Si 6.476 0.986 3.184
Si 10.086 3.564 6.377
O 0.586 4.146 0.022
O 0.952 3.248 3.143
O 1.713 1.029 1.822
O 1.788 1.104 4.540
O 3.733 3.682 1.347
O 3.808 3.607 5.015
O 4.568 0.669 6.336
O 4.935 1.568 3.215
O 6.106 3.589 0.022
O 6.473 4.487 3.143
O 7.233 1.549 1.822
O 7.308 1.474 4.540
O 9.253 4.053 1.347
O 9.328 4.128 5.015
O 10.089 1.909 6.336
O 10.455 1.010 3.215
CELL_PARAMETERS angstrom
11.041 0.000 0.000
0.000 5.157 0.000
0.000 0.000 6.386
```